VASP calculation (PBE) on a relaxed AlNiCl2 crystal.

```
4
Lattice="3.103 -1.578 0.000 3.103 1.578 0.000 -2.434 0.000 8.382" Properties=species:S:1:pos:R:3 pbc="T T T"
Al 0.000 0.000 0.000
Ni 4.387 0.000 1.574
Cl 0.348 0.000 6.671
Cl 2.228 0.000 2.940
```

## Properties
Formation energy from raw total energies: -0.5716 eV/atom
Space-group type: Cm, No. 8
E_tot: -15.50 eV per cell
E above lowest polymorph: 0 meV/atom